DFT (GGA-PBE) results for crystalline NaDy4Se5 at its relaxed geometry.

Calculated values
The value obtained for the volume is 243 Å³ per cell. The total magnetization comes out at 0.00 μB/f.u. The value obtained for the total DFT energy (no corrections) is -54.53 eV per cell. The space group is Immm, No. 71.

Unit cell a=10.8739 b=10.8739 c=10.8739 alpha=158.26 beta=149.28 gamma=37.95
Fractional coordinates of all 10 atoms:
1 Na 0.0000 0.0000 0.0000
2 Dy 0.2041 0.2041 0.0000
3 Dy 0.3990 0.3990 0.0000
4 Dy 0.6010 0.6010 0.0000
5 Dy 0.7959 0.7959 0.0000
6 Se 0.1036 0.6036 0.5000
7 Se 0.3015 0.8015 0.5000
8 Se 0.5000 0.0000 0.5000
9 Se 0.6985 0.1985 0.5000
10 Se 0.8964 0.3964 0.5000